# 1
# TmTeCl

A geometry-optimized TmTeCl structure (PBE-GGA, Alexandria).

abc: 3.9066 3.9066 25.8500
angles: 90.00 90.00 90.00
With the nearest neighbours (Å) after each atom.
Space group I-4m2 (No. 119)
Inequivalent atoms, fractional coordinates:
Tm 0.0000 0.0000 0.1397  2 Cl 2.67
Te 0.0000 0.0000 0.3087  4 Tm 3.07
Cl 0.0000 0.5000 0.0691  2 Tm 2.67

Computed properties:
- Energy relative to the elements, uncorrected: -1.612 eV per atom

=====

# 2
# Ca3Ho3TmSe8

A geometry-optimized Ca3Ho3TmSe8 structure (PBE-GGA, Alexandria).

abc: 8.1608 8.1608 20.4790
angles: 90.00 90.00 120.00
With the nearest neighbours (Å) after each atom.
Space group R-3m (No. 166, hexagonal axes)
Inequivalent atoms, fractional coordinates:
Ca 0.0000 0.5000 0.0000  6 Se 2.93-2.95
Ho 0.0000 0.5000 0.5000  6 Se 2.87-2.88
Tm 0.0000 0.0000 0.5000  6 Se 2.86
Se 0.0000 0.0000 0.2479  3 Ho 2.88, 3 Ca 2.93
Se 0.0012 0.5006 0.2464  1 Tm 2.86, 2 Ho 2.87, 2 Ca 2.95

Computed properties:
- Energy relative to the elements, uncorrected: -1.910 eV per atom

=====

# 3
# PuCd3

A geometry-optimized PuCd3 structure (PBE-GGA, Alexandria).

abc: 4.6776 4.6776 4.6776
angles: 90.00 90.00 90.00
With the nearest neighbours (Å) after each atom.
Space group Pm-3m (No. 221)
Inequivalent atoms, fractional coordinates:
Pu 0.0000 0.0000 0.0000  12 Cd 3.31
Cd 0.0000 0.5000 0.5000  8 Cd 3.31, 4 Pu 3.31

Computed properties:
- DFT formation energy: 21 meV/atom

=====

# 4
# Ac6SiGe2I3

A geometry-optimized Ac6SiGe2I3 structure (PBE-GGA, Alexandria).

abc: 21.0129 4.6274 9.6964
angles: 90.00 107.16 90.00
With the nearest neighbours (Å) after each atom.
Space group C2/m (No. 12)
Inequivalent atoms, fractional coordinates:
Ac 0.0099 0.0000 0.2202  2 Si 3.11, 1 Ge 3.15
Ac 0.1543 0.5000 0.1073  1 Si 3.10, 2 Ge 3.14
Ac 0.1771 0.5000 0.5562  3 Ge 3.13
Si 0.0000 0.5000 0.0000  6 Ac 3.10-3.11
Ge 0.1669 0.0000 0.3331  6 Ac 3.13-3.15
I 0.0000 0.5000 0.5000  6 Ac 3.60-3.62
I 0.1671 0.0000 0.8332  6 Ac 3.59-3.62

Computed properties:
- Energy relative to the elements, uncorrected: -0.984 eV per atom

=====

# 5
# K2Sb2Br7

A geometry-optimized K2Sb2Br7 structure (PBE-GGA, Alexandria).

abc: 12.3769 9.3641 7.4598
angles: 90.00 99.37 90.00
With the nearest neighbours (Å) after each atom.
Space group C2/m (No. 12)
Inequivalent atoms, fractional coordinates:
K 0.0000 0.2398 0.0000  4 Br 3.21-3.58
Sb 0.2424 0.0000 0.5791  4 Br 2.67-2.96
Br 0.0000 0.0000 0.5000  2 Sb 2.96
Br 0.0443 0.5000 0.2823  1 Sb 2.67
Br 0.2304 0.2693 0.7394  1 Sb 2.81

Computed properties:
- Energy relative to the elements, uncorrected: -0.882 eV per atom

=====

# 6
# Rb8H6F

A geometry-optimized Rb8H6F structure (PBE-GGA, Alexandria).

abc: 10.7011 10.7011 4.5617
angles: 90.00 90.00 120.00
With the nearest neighbours (Å) after each atom.
Space group P-3 (No. 147)
Inequivalent atoms, fractional coordinates:
Rb 0.0346 0.7098 0.2337  4 H 2.85-3.19
Rb 0.3333 0.6667 0.7356  6 H 3.06-3.22
H 0.1277 0.4694 0.2591  5 Rb 2.85-3.19
F 0.0000 0.0000 0.0000  6 Rb 3.47

=====

no.,DFT total energy (eV per atom),total moment (μB/atom)
1,-4.765,0.0000
2,-5.383,0.0000
3,-4.249,1.6499
4,-4.648,0.0000
5,-2.895,0.0000
6,-2.284,0.0001